a:
Crystalline La4SiN2 at its relaxed geometry. Source: the Alexandria database, functional GGA-PBE.

```
data_La4SiN2
_cell_length_a 5.7131
_cell_length_b 5.7131
_cell_length_c 12.1062
_cell_angle_alpha 90.00
_cell_angle_beta 90.00
_cell_angle_gamma 90.00
_symmetry_space_group_name_H-M 'I 4/m m m'
_symmetry_Int_Tables_number 139
_symmetry_space_group_name_Hall '-I 4 2'
loop_
_atom_site_label
_atom_site_fract_x
_atom_site_fract_y
_atom_site_fract_z
La1 0.0000 0.0000 0.2423
La2 0.0000 0.5000 0.0000
Si1 0.0000 0.0000 0.5000
N1 0.0000 0.0000 0.0549
```



b:
Crystalline La4SiN2 at its relaxed geometry. Source: the Alexandria database, functional GGA-PBE.

```
data_La4SiN2
_cell_length_a 4.0146
_cell_length_b 12.5514
_cell_length_c 12.8092
_cell_angle_alpha 90.00
_cell_angle_beta 90.00
_cell_angle_gamma 90.00
_symmetry_space_group_name_H-M 'C m c m'
_symmetry_Int_Tables_number 63
_symmetry_space_group_name_Hall '-C 2c 2'
loop_
_atom_site_label
_atom_site_fract_x
_atom_site_fract_y
_atom_site_fract_z
La1 0.0000 0.0000 0.0000
La2 0.0000 0.2699 0.1098
La3 0.0000 0.4238 0.7500
Si1 0.0000 0.0961 0.7500
N1 0.0000 0.3586 0.5552
```



The winner here is b, beating the second structure by 398 meV per atom.



a:
Crystalline La2SiN3 at its relaxed geometry. Source: the Alexandria database, functional GGA-PBE.

```
data_La2SiN3
_cell_length_a 5.4789
_cell_length_b 10.9770
_cell_length_c 12.0374
_cell_angle_alpha 90.00
_cell_angle_beta 90.00
_cell_angle_gamma 90.00
_symmetry_space_group_name_H-M 'C m c e'
_symmetry_Int_Tables_number 64
_symmetry_space_group_name_Hall '-C 2ac 2'
loop_
_atom_site_label
_atom_site_fract_x
_atom_site_fract_y
_atom_site_fract_z
La1 0.0000 0.0622 0.1413
La2 0.0000 0.1394 0.5739
Si1 0.0000 0.2409 0.3347
N1 0.0000 0.0814 0.3655
N2 0.0000 0.1554 0.9467
N3 0.2500 0.2318 0.7500
```



b:
Crystalline La2SiN3 at its relaxed geometry. Source: the Alexandria database, functional GGA-PBE.

```
data_La2SiN3
_cell_length_a 10.9598
_cell_length_b 6.6468
_cell_length_c 7.0520
_cell_angle_alpha 90.00
_cell_angle_beta 125.12
_cell_angle_gamma 90.00
_symmetry_space_group_name_H-M 'C 1 2/c 1'
_symmetry_Int_Tables_number 15
loop_
_symmetry_equiv_pos_as_xyz
'x,y,z'
'-x,-y,-z'
'-x,y,-z+1/2'
'x,-y,z+1/2'
'x+1/2,y+1/2,z'
'-x+1/2,-y+1/2,-z'
'-x+1/2,y+1/2,-z+1/2'
'x+1/2,-y+1/2,z+1/2'
loop_
_atom_site_label
_atom_site_fract_x
_atom_site_fract_y
_atom_site_fract_z
La1 0.1693 0.1057 0.2370
Si1 0.0000 0.4056 0.7500
N1 0.0000 0.1466 0.7500
N2 0.1545 0.4626 0.3230
```



The winner here is a, beating the second structure by 240 meV per atom.



a:
Crystalline La4SmN4 at its relaxed geometry. Source: the Alexandria database, functional GGA-PBE.

```
data_La4SmN4
_cell_length_a 12.3491
_cell_length_b 3.6930
_cell_length_c 9.2335
_cell_angle_alpha 90.00
_cell_angle_beta 120.17
_cell_angle_gamma 90.00
_symmetry_space_group_name_H-M 'C 1 2/m 1'
_symmetry_Int_Tables_number 12
loop_
_symmetry_equiv_pos_as_xyz
'x,y,z'
'-x,-y,-z'
'-x,y,-z'
'x,-y,z'
'x+1/2,y+1/2,z'
'-x+1/2,-y+1/2,-z'
'-x+1/2,y+1/2,-z'
'x+1/2,-y+1/2,z'
loop_
_atom_site_label
_atom_site_fract_x
_atom_site_fract_y
_atom_site_fract_z
La1 0.1044 0.0000 0.3802
La2 0.2059 0.5000 0.8131
Sm1 0.0000 0.5000 0.0000
N1 0.1023 0.0000 0.9097
N2 0.1920 0.5000 0.2990
```



b:
Crystalline La4SmN4 at its relaxed geometry. Source: the Alexandria database, functional GGA-PBE.

```
data_La4SmN4
_cell_length_a 6.0979
_cell_length_b 6.0979
_cell_length_c 11.1298
_cell_angle_alpha 90.00
_cell_angle_beta 90.00
_cell_angle_gamma 90.00
_symmetry_space_group_name_H-M 'I -4 2 m'
_symmetry_Int_Tables_number 121
_symmetry_space_group_name_Hall 'I -4 2'
loop_
_atom_site_label
_atom_site_fract_x
_atom_site_fract_y
_atom_site_fract_z
La1 0.0000 0.0000 0.2081
La2 0.0000 0.5000 0.0000
Sm1 0.0000 0.0000 0.5000
N1 0.2382 0.2382 0.6151
```



The winner here is a, beating the second structure by 467 meV per atom.



a:
Crystalline La3SmN3 at its relaxed geometry. Source: the Alexandria database, functional GGA-PBE.

```
data_La3SmN3
_cell_length_a 7.5790
_cell_length_b 11.1353
_cell_length_c 6.8837
_cell_angle_alpha 90.00
_cell_angle_beta 93.18
_cell_angle_gamma 90.00
_symmetry_space_group_name_H-M 'C 1 2/m 1'
_symmetry_Int_Tables_number 12
loop_
_symmetry_equiv_pos_as_xyz
'x,y,z'
'-x,-y,-z'
'-x,y,-z'
'x,-y,z'
'x+1/2,y+1/2,z'
'-x+1/2,-y+1/2,-z'
'-x+1/2,y+1/2,-z'
'x+1/2,-y+1/2,z'
loop_
_atom_site_label
_atom_site_fract_x
_atom_site_fract_y
_atom_site_fract_z
La1 0.0000 0.1895 0.0000
La2 0.0000 0.2581 0.5000
La3 0.1463 0.5000 0.1422
Sm1 0.2233 0.0000 0.3730
N1 0.0634 0.0000 0.7371
N2 0.1297 0.3521 0.8194
```



b:
Crystalline La3SmN3 at its relaxed geometry. Source: the Alexandria database, functional GGA-PBE.

```
data_La3SmN3
_cell_length_a 5.2068
_cell_length_b 5.2068
_cell_length_c 5.2068
_cell_angle_alpha 90.00
_cell_angle_beta 90.00
_cell_angle_gamma 90.00
_symmetry_space_group_name_H-M 'P m -3 m'
_symmetry_Int_Tables_number 221
_symmetry_space_group_name_Hall '-P 4 2 3'
loop_
_atom_site_label
_atom_site_fract_x
_atom_site_fract_y
_atom_site_fract_z
La1 0.0000 0.0000 0.5000
Sm1 0.5000 0.5000 0.5000
N1 0.0000 0.5000 0.5000
```



The winner here is b, beating the second structure by 309 meV per atom.



a:
Crystalline LaSm4N4 at its relaxed geometry. Source: the Alexandria database, functional GGA-PBE.

```
data_LaSm4N4
_cell_length_a 8.1673
_cell_length_b 8.1673
_cell_length_c 5.0679
_cell_angle_alpha 90.00
_cell_angle_beta 90.00
_cell_angle_gamma 90.00
_symmetry_space_group_name_H-M 'I 4/m'
_symmetry_Int_Tables_number 87
_symmetry_space_group_name_Hall '-I 4'
loop_
_atom_site_label
_atom_site_fract_x
_atom_site_fract_y
_atom_site_fract_z
La1 0.0000 0.0000 0.0000
Sm1 0.1103 0.3163 0.5000
N1 0.0976 0.3023 0.0000
```



b:
Crystalline LaSm4N4 at its relaxed geometry. Source: the Alexandria database, functional GGA-PBE.

```
data_LaSm4N4
_cell_length_a 5.8958
_cell_length_b 5.8958
_cell_length_c 11.1363
_cell_angle_alpha 90.00
_cell_angle_beta 90.00
_cell_angle_gamma 90.00
_symmetry_space_group_name_H-M 'I -4 2 m'
_symmetry_Int_Tables_number 121
_symmetry_space_group_name_Hall 'I -4 2'
loop_
_atom_site_label
_atom_site_fract_x
_atom_site_fract_y
_atom_site_fract_z
La1 0.0000 0.0000 0.0000
Sm1 0.0000 0.0000 0.2845
Sm2 0.0000 0.5000 0.0000
N1 0.2460 0.2460 0.1194
```



The winner here is a, beating the second structure by 613 meV per atom.



a:
Crystalline LaSnTeN2 at its relaxed geometry. Source: the Alexandria database, functional GGA-PBE.

```
data_LaSnTeN2
_cell_length_a 4.3812
_cell_length_b 4.3812
_cell_length_c 5.7016
_cell_angle_alpha 90.00
_cell_angle_beta 90.00
_cell_angle_gamma 90.00
_symmetry_space_group_name_H-M 'P 4/m m m'
_symmetry_Int_Tables_number 123
_symmetry_space_group_name_Hall '-P 4 2'
loop_
_atom_site_label
_atom_site_fract_x
_atom_site_fract_y
_atom_site_fract_z
La1 0.0000 0.0000 0.0000
Sn1 0.5000 0.5000 0.5000
Te1 0.5000 0.5000 0.0000
N1 0.0000 0.5000 0.5000
```



b:
Crystalline LaSnTeN2 at its relaxed geometry. Source: the Alexandria database, functional GGA-PBE.

```
data_LaSnTeN2
_cell_length_a 4.4121
_cell_length_b 4.4121
_cell_length_c 6.6820
_cell_angle_alpha 90.00
_cell_angle_beta 90.00
_cell_angle_gamma 90.00
_symmetry_space_group_name_H-M 'P 4/m m m'
_symmetry_Int_Tables_number 123
_symmetry_space_group_name_Hall '-P 4 2'
loop_
_atom_site_label
_atom_site_fract_x
_atom_site_fract_y
_atom_site_fract_z
La1 0.0000 0.0000 0.0000
Sn1 0.5000 0.5000 0.5000
Te1 0.0000 0.0000 0.5000
N1 0.0000 0.5000 0.0000
```



The winner here is a, beating the second structure by 152 meV per atom.



a:
Crystalline Sr3LaN at its relaxed geometry. Source: the Alexandria database, functional GGA-PBE.

```
data_Sr3LaN
_cell_length_a 6.8886
_cell_length_b 6.8886
_cell_length_c 6.8886
_cell_angle_alpha 90.00
_cell_angle_beta 90.00
_cell_angle_gamma 90.00
_symmetry_space_group_name_H-M 'P m -3 m'
_symmetry_Int_Tables_number 221
_symmetry_space_group_name_Hall '-P 4 2 3'
loop_
_atom_site_label
_atom_site_fract_x
_atom_site_fract_y
_atom_site_fract_z
Sr1 0.0000 0.0000 0.5000
La1 0.0000 0.0000 0.0000
N1 0.5000 0.5000 0.5000
```



b:
Crystalline Sr3LaN at its relaxed geometry. Source: the Alexandria database, functional GGA-PBE.

```
data_Sr3LaN
_cell_length_a 5.5142
_cell_length_b 5.5142
_cell_length_c 5.5142
_cell_angle_alpha 90.00
_cell_angle_beta 90.00
_cell_angle_gamma 90.00
_symmetry_space_group_name_H-M 'P m -3 m'
_symmetry_Int_Tables_number 221
_symmetry_space_group_name_Hall '-P 4 2 3'
loop_
_atom_site_label
_atom_site_fract_x
_atom_site_fract_y
_atom_site_fract_z
Sr1 0.0000 0.0000 0.5000
La1 0.5000 0.5000 0.5000
N1 0.0000 0.0000 0.0000
```



The winner here is b, beating the second structure by 1699 meV per atom.



a:
Crystalline La2TaN4 at its relaxed geometry. Source: the Alexandria database, functional GGA-PBE.

```
data_La2TaN4
_cell_length_a 4.0955
_cell_length_b 4.0955
_cell_length_c 12.6607
_cell_angle_alpha 90.00
_cell_angle_beta 90.00
_cell_angle_gamma 90.00
_symmetry_space_group_name_H-M 'I 4/m m m'
_symmetry_Int_Tables_number 139
_symmetry_space_group_name_Hall '-I 4 2'
loop_
_atom_site_label
_atom_site_fract_x
_atom_site_fract_y
_atom_site_fract_z
La1 0.0000 0.0000 0.1441
Ta1 0.0000 0.0000 0.5000
N1 0.0000 0.0000 0.3323
N2 0.0000 0.5000 0.0000
```



b:
Crystalline La2TaN4 at its relaxed geometry. Source: the Alexandria database, functional GGA-PBE.

```
data_La2TaN4
_cell_length_a 6.1846
_cell_length_b 6.2340
_cell_length_c 7.0683
_cell_angle_alpha 90.00
_cell_angle_beta 109.45
_cell_angle_gamma 90.00
_symmetry_space_group_name_H-M 'P 1 21/m 1'
_symmetry_Int_Tables_number 11
loop_
_symmetry_equiv_pos_as_xyz
'x,y,z'
'-x,-y,-z'
'-x,y+1/2,-z'
'x,-y+1/2,z'
loop_
_atom_site_label
_atom_site_fract_x
_atom_site_fract_y
_atom_site_fract_z
La1 0.1614 0.2500 0.0109
La2 0.2598 0.2500 0.5494
Ta1 0.2823 0.7500 0.8081
N1 0.0650 0.5112 0.7440
N2 0.4725 0.7500 0.0900
N3 0.4936 0.2500 0.3299
```



The winner here is a, beating the second structure by 196 meV per atom.



a:
Crystalline LaTa3N at its relaxed geometry. Source: the Alexandria database, functional GGA-PBE.

```
data_LaTa3N
_cell_length_a 4.8856
_cell_length_b 4.8856
_cell_length_c 4.8856
_cell_angle_alpha 90.00
_cell_angle_beta 90.00
_cell_angle_gamma 90.00
_symmetry_space_group_name_H-M 'P m -3 m'
_symmetry_Int_Tables_number 221
_symmetry_space_group_name_Hall '-P 4 2 3'
loop_
_atom_site_label
_atom_site_fract_x
_atom_site_fract_y
_atom_site_fract_z
La1 0.0000 0.0000 0.0000
Ta1 0.0000 0.0000 0.5000
N1 0.5000 0.5000 0.5000
```



b:
Crystalline LaTa3N at its relaxed geometry. Source: the Alexandria database, functional GGA-PBE.

```
data_LaTa3N
_cell_length_a 4.4658
_cell_length_b 4.4658
_cell_length_c 4.4658
_cell_angle_alpha 90.00
_cell_angle_beta 90.00
_cell_angle_gamma 90.00
_symmetry_space_group_name_H-M 'P m -3 m'
_symmetry_Int_Tables_number 221
_symmetry_space_group_name_Hall '-P 4 2 3'
loop_
_atom_site_label
_atom_site_fract_x
_atom_site_fract_y
_atom_site_fract_z
La1 0.0000 0.0000 0.0000
Ta1 0.0000 0.5000 0.5000
N1 0.5000 0.5000 0.5000
```



The winner here is b, beating the second structure by 3391 meV per atom.



a:
Crystalline La4TbN4 at its relaxed geometry. Source: the Alexandria database, functional GGA-PBE.

```
data_La4TbN4
_cell_length_a 12.2860
_cell_length_b 3.6683
_cell_length_c 9.1984
_cell_angle_alpha 90.00
_cell_angle_beta 120.23
_cell_angle_gamma 90.00
_symmetry_space_group_name_H-M 'C 1 2/m 1'
_symmetry_Int_Tables_number 12
loop_
_symmetry_equiv_pos_as_xyz
'x,y,z'
'-x,-y,-z'
'-x,y,-z'
'x,-y,z'
'x+1/2,y+1/2,z'
'-x+1/2,-y+1/2,-z'
'-x+1/2,y+1/2,-z'
'x+1/2,-y+1/2,z'
loop_
_atom_site_label
_atom_site_fract_x
_atom_site_fract_y
_atom_site_fract_z
La1 0.1032 0.0000 0.3782
La2 0.2065 0.5000 0.8133
Tb1 0.0000 0.5000 0.0000
N1 0.0990 0.0000 0.9116
N2 0.1890 0.5000 0.2922
```



b:
Crystalline La4TbN4 at its relaxed geometry. Source: the Alexandria database, functional GGA-PBE.

```
data_La4TbN4
_cell_length_a 6.0690
_cell_length_b 6.0690
_cell_length_c 11.0924
_cell_angle_alpha 90.00
_cell_angle_beta 90.00
_cell_angle_gamma 90.00
_symmetry_space_group_name_H-M 'I -4 2 m'
_symmetry_Int_Tables_number 121
_symmetry_space_group_name_Hall 'I -4 2'
loop_
_atom_site_label
_atom_site_fract_x
_atom_site_fract_y
_atom_site_fract_z
La1 0.0000 0.0000 0.2103
La2 0.0000 0.5000 0.0000
Tb1 0.0000 0.0000 0.5000
N1 0.2278 0.2278 0.6173
```



The winner here is a, beating the second structure by 448 meV per atom.



a:
Crystalline LaTc3N at its relaxed geometry. Source: the Alexandria database, functional GGA-PBE.

```
data_LaTc3N
_cell_length_a 4.2636
_cell_length_b 4.2636
_cell_length_c 4.2636
_cell_angle_alpha 90.00
_cell_angle_beta 90.00
_cell_angle_gamma 90.00
_symmetry_space_group_name_H-M 'P m -3 m'
_symmetry_Int_Tables_number 221
_symmetry_space_group_name_Hall '-P 4 2 3'
loop_
_atom_site_label
_atom_site_fract_x
_atom_site_fract_y
_atom_site_fract_z
La1 0.0000 0.0000 0.0000
Tc1 0.0000 0.5000 0.5000
N1 0.5000 0.5000 0.5000
```



b:
Crystalline LaTc3N at its relaxed geometry. Source: the Alexandria database, functional GGA-PBE.

```
data_LaTc3N
_cell_length_a 4.7799
_cell_length_b 4.7799
_cell_length_c 4.7799
_cell_angle_alpha 90.00
_cell_angle_beta 90.00
_cell_angle_gamma 90.00
_symmetry_space_group_name_H-M 'P m -3 m'
_symmetry_Int_Tables_number 221
_symmetry_space_group_name_Hall '-P 4 2 3'
loop_
_atom_site_label
_atom_site_fract_x
_atom_site_fract_y
_atom_site_fract_z
La1 0.0000 0.0000 0.0000
Tc1 0.0000 0.0000 0.5000
N1 0.5000 0.5000 0.5000
```



The winner here is a, beating the second structure by 3107 meV per atom.



a:
Crystalline LaTcTeN2 at its relaxed geometry. Source: the Alexandria database, functional GGA-PBE.

```
data_LaTcTeN2
_cell_length_a 4.1521
_cell_length_b 4.1521
_cell_length_c 5.4240
_cell_angle_alpha 90.00
_cell_angle_beta 90.00
_cell_angle_gamma 90.00
_symmetry_space_group_name_H-M 'P 4/m m m'
_symmetry_Int_Tables_number 123
_symmetry_space_group_name_Hall '-P 4 2'
loop_
_atom_site_label
_atom_site_fract_x
_atom_site_fract_y
_atom_site_fract_z
La1 0.0000 0.0000 0.0000
Tc1 0.5000 0.5000 0.5000
Te1 0.5000 0.5000 0.0000
N1 0.0000 0.5000 0.5000
```



b:
Crystalline LaTcTeN2 at its relaxed geometry. Source: the Alexandria database, functional GGA-PBE.

```
data_LaTcTeN2
_cell_length_a 4.2485
_cell_length_b 4.2485
_cell_length_c 6.8169
_cell_angle_alpha 90.00
_cell_angle_beta 90.00
_cell_angle_gamma 90.00
_symmetry_space_group_name_H-M 'P 4/m m m'
_symmetry_Int_Tables_number 123
_symmetry_space_group_name_Hall '-P 4 2'
loop_
_atom_site_label
_atom_site_fract_x
_atom_site_fract_y
_atom_site_fract_z
La1 0.0000 0.0000 0.0000
Tc1 0.5000 0.5000 0.5000
Te1 0.0000 0.0000 0.5000
N1 0.0000 0.5000 0.0000
```



The winner here is a, beating the second structure by 1119 meV per atom.